The following is a DFT calculation (PBE-GGA) of crystalline Rb2TlIn2 at its relaxed geometry.

a b c (Å): 7.1200 9.1949 8.3561
angles (deg): 79.30 61.35 67.22
Closest atoms and distances in Å follow each position.
Fractional positions:
In1 0.8319 0.0000 0.2764  2 In 2.90-2.92
Tl1 0.1545 0.6910 0.0000  4 In 3.31-3.35
Rb1 0.2020 0.2958 0.3040  3 In 3.66-3.99, 2 Tl 4.03-4.08
In2 0.7146 0.0000 0.9855  3 In 2.90-2.95
Rb2 0.5021 0.2958 0.6960  3 In 3.66-3.99, 2 Tl 4.03-4.08
In3 0.2854 0.0000 0.0145  3 In 2.90-2.95
Tl2 0.8455 0.3090 0.0000  4 In 3.31-3.35
In4 0.1681 0.0000 0.7236  2 In 2.90-2.92
Rb3 0.4979 0.7042 0.3040  3 In 3.66-3.99, 2 Tl 4.03-4.08
Rb4 0.7980 0.7042 0.6960  3 In 3.66-3.99, 2 Tl 4.03-4.08

Theoretical density ... 4.54 Mg/m³
Total magnetization ... 0.0 μB/f.u.
Excess energy over the best structure of this formula in the dataset ... 0.0 meV/atom
E_tot ... -2.026 eV/atom
Energy relative to the elements ... -0.07 eV per atom